No. 1
NdAs12Os4: optimized geometry, GGA-PBE.

Its crystal system is cubic. Its formation energy is -0.336 eV/atom. The total energy is -6.54 eV/atom.

Structure (CIF):
```
data_NdAs12Os4
_chemical_formula_sum 'Nd2 As24 Os8'
_symmetry_space_group_name_H-M 'I m -3'
_symmetry_Int_Tables_number 204
_symmetry_space_group_name_Hall '-I 2 2 3'
_cell_length_a 8.632
_cell_length_b 8.632
_cell_length_c 8.632
_cell_angle_alpha 90.00
_cell_angle_beta 90.00
_cell_angle_gamma 90.00
loop_
_atom_site_label
_atom_site_type_symbol
_atom_site_fract_x
_atom_site_fract_y
_atom_site_fract_z
Nd1 Nd 0.000 0.000 0.000
As1 As 0.000 0.347 0.149
Os1 Os 0.250 0.250 0.250
```

No. 2
Nd7AsP5: optimized geometry, GGA-PBE.

Its crystal system is orthorhombic. Its formation energy is -1.437 eV/atom. The total energy is -6.44 eV/atom.

Structure (CIF):
```
data_Nd7AsP5
_chemical_formula_sum 'Nd28 As4 P20'
_symmetry_space_group_name_H-M 'C m c m'
_symmetry_Int_Tables_number 63
_symmetry_space_group_name_Hall '-C 2c 2'
_cell_length_a 4.160
_cell_length_b 13.726
_cell_length_c 24.426
_cell_angle_alpha 90.00
_cell_angle_beta 90.00
_cell_angle_gamma 90.00
loop_
_atom_site_label
_atom_site_type_symbol
_atom_site_fract_x
_atom_site_fract_y
_atom_site_fract_z
Nd1 Nd 0.000 0.046 0.250
Nd2 Nd 0.000 0.137 0.535
Nd3 Nd 0.000 0.320 0.175
Nd4 Nd 0.000 0.411 0.605
As1 As 0.000 0.299 0.750
P1 P 0.000 0.046 0.646
P2 P 0.000 0.227 0.074
P3 P 0.000 0.500 0.000
```